[1]
Computed, not measured: an optimized crystal structure of YBe3H at the PBE level of DFT.

SG: Pm-3m
Raw total energy, eV/atom: -3.692

abc: 3.9331 3.9331 3.9331
angles: 90.00 90.00 90.00
Last column: nearest neighbours and their distance in Å.
Atoms (fractional coordinates):
1 Be 0.0000 0.5000 0.0000  2 H 1.97
2 Be 0.5000 0.0000 0.0000  2 H 1.97
3 Be 0.0000 0.0000 0.5000  2 H 1.97
4 Y 0.5000 0.5000 0.5000  12 Be 2.78
5 H 0.0000 0.0000 0.0000  6 Be 1.97

---

[2]
Computed, not measured: an optimized crystal structure of Y2ZrBeH at the PBE level of DFT.

SG: P4/mmm
Raw total energy, eV/atom: -4.870

abc: 5.1851 4.7639 5.1851
angles: 90.00 90.00 90.00
Last column: nearest neighbours and their distance in Å.
Atoms (fractional coordinates):
1 Zr 0.0000 0.5000 0.0000  2 Be 2.38
2 Y 0.0000 0.0000 0.5000  2 Be 2.59
3 Y 0.5000 0.0000 0.0000  2 Be 2.59
4 H 0.5000 0.5000 0.5000  8 Y 3.52, 4 Zr 3.67
5 Be 0.0000 0.0000 0.0000  2 Zr 2.38, 4 Y 2.59

---

[3]
Computed, not measured: an optimized crystal structure of Be2ZnH6 at the PBE level of DFT.

SG: Fm-3m
Raw total energy, eV/atom: -2.425

abc: 4.2272 4.2272 4.2272
angles: 60.00 60.00 60.00
Last column: nearest neighbours and their distance in Å.
Atoms (fractional coordinates):
1 H 0.2916 0.7084 0.7084  1 Zn 1.74, 4 H 1.76
2 H 0.7084 0.2916 0.2916  1 Zn 1.74, 4 H 1.76
3 H 0.7084 0.2916 0.7084  1 Zn 1.74, 4 H 1.76
4 H 0.7084 0.7084 0.2916  1 Zn 1.74, 4 H 1.76
5 H 0.2916 0.2916 0.7084  1 Zn 1.74, 4 H 1.76
6 H 0.2916 0.7084 0.2916  1 Zn 1.74, 4 H 1.76
7 Be 0.7500 0.7500 0.7500  12 H 2.13
8 Be 0.2500 0.2500 0.2500  12 H 2.13
9 Zn 0.0000 0.0000 0.0000  6 H 1.74

---

[4]
Computed, not measured: an optimized crystal structure of BeZn2H at the PBE level of DFT.

SG: Fm-3m
Raw total energy, eV/atom: -1.823

abc: 3.9430 3.9430 3.9430
angles: 60.00 60.00 60.00
Last column: nearest neighbours and their distance in Å.
Atoms (fractional coordinates):
1 H 0.0000 0.0000 0.0000  8 Zn 2.41
2 Zn 0.2500 0.2500 0.2500  4 H 2.41, 4 Be 2.41
3 Zn 0.7500 0.7500 0.7500  4 H 2.41, 4 Be 2.41
4 Be 0.5000 0.5000 0.5000  8 Zn 2.41

---

[5]
Computed, not measured: an optimized crystal structure of BeZnH2 at the PBE level of DFT.

SG: I4_1/amd
Raw total energy, eV/atom: -2.631

abc: 4.8649 4.8649 4.8576
angles: 59.95 59.95 90.00
Last column: nearest neighbours and their distance in Å.
Atoms (fractional coordinates):
1 Zn 0.0000 0.0000 0.0000  12 H 2.85, 4 Be 2.98, 4 Zn 2.98
2 Zn 0.7500 0.2500 0.5000  12 H 2.85, 4 Be 2.98, 4 Zn 2.98
3 H 0.3756 0.1250 0.2500  2 Be 1.49
4 H 0.8750 0.6256 0.7500  2 Be 1.49
5 H 0.3744 0.6250 0.2500  2 Be 1.49
6 H 0.3750 0.6244 0.7500  2 Be 1.49
7 Be 0.2500 0.7500 0.5000  4 H 1.49
8 Be 0.5000 0.5000 0.0000  4 H 1.49

---

[6]
Computed, not measured: an optimized crystal structure of Be2ZnH at the PBE level of DFT.

SG: Fm-3m
Raw total energy, eV/atom: -2.299

abc: 3.7521 3.7521 3.7521
angles: 60.00 60.00 60.00
Last column: nearest neighbours and their distance in Å.
Atoms (fractional coordinates):
1 Zn 0.5000 0.5000 0.5000  8 Be 2.30
2 H 0.0000 0.0000 0.0000  8 Be 2.30
3 Be 0.2500 0.2500 0.2500  4 H 2.30, 4 Zn 2.30
4 Be 0.7500 0.7500 0.7500  4 H 2.30, 4 Zn 2.30

---

[7]
Computed, not measured: an optimized crystal structure of BeZn2H at the PBE level of DFT.

SG: I-42d
Raw total energy, eV/atom: -1.936

abc: 5.5795 5.5795 4.9366
angles: 55.59 55.59 90.00
Last column: nearest neighbours and their distance in Å.
Atoms (fractional coordinates):
1 H 0.2500 0.7500 0.5000  4 Zn 1.89
2 H 0.5000 0.5000 0.0000  4 Zn 1.89
3 Be 0.0000 0.0000 0.0000  4 Zn 2.36
4 Be 0.7500 0.2500 0.5000  4 Zn 2.36
5 Zn 0.8750 0.8100 0.7500  2 H 1.89
6 Zn 0.3750 0.4400 0.7500  2 H 1.89
7 Zn 0.5600 0.1250 0.2500  2 H 1.89
8 Zn 0.1900 0.6250 0.2500  2 H 1.89

---

[8]
Computed, not measured: an optimized crystal structure of Be2ZnH6 at the PBE level of DFT.

SG: C2/c
Raw total energy, eV/atom: -3.216

abc: 4.0871 6.5526 6.5526
angles: 91.53 71.86 71.86
Last column: nearest neighbours and their distance in Å.
Atoms (fractional coordinates):
1 H 0.7008 0.1913 0.3168  2 Be 1.44
2 H 0.0957 0.2392 0.5466  1 Be 1.45
3 H 0.2008 0.3168 0.1913  2 Be 1.44
4 H 0.9043 0.7608 0.4534  1 Be 1.45
5 H 0.3842 0.9579 0.2555  1 Be 1.45
6 H 0.7992 0.6832 0.8087  2 Be 1.44
7 H 0.1158 0.7445 0.0421  1 Be 1.45
8 H 0.2992 0.8087 0.6832  2 Be 1.44
9 H 0.5957 0.5466 0.2392  1 Be 1.45
10 H 0.8842 0.2555 0.9579  1 Be 1.45
11 H 0.4043 0.4534 0.7608  1 Be 1.45
12 H 0.6158 0.0421 0.7445  1 Be 1.45
13 Be 0.6482 0.8240 0.6724  4 H 1.44-1.45
14 Be 0.1482 0.6724 0.8240  4 H 1.44-1.45
15 Be 0.3518 0.1760 0.3276  4 H 1.44-1.45
16 Be 0.8518 0.3276 0.1760  4 H 1.44-1.45
17 Zn 0.2500 0.2483 0.7517  4 H 1.66
18 Zn 0.7500 0.7517 0.2483  4 H 1.66

---

[9]
Computed, not measured: an optimized crystal structure of Be2Zn2H7 at the PBE level of DFT.

SG: C2/c
Raw total energy, eV/atom: -2.887

abc: 5.1242 5.1242 8.7564
angles: 104.22 104.22 102.86
Last column: nearest neighbours and their distance in Å.
Atoms (fractional coordinates):
1 H 0.5849 0.1357 0.8340  1 Be 1.46
2 H 0.6719 0.5316 0.1338  1 Be 1.51
3 H 0.7907 0.7795 0.4036  1 Be 1.47
4 H 0.1357 0.5849 0.3340  1 Be 1.46
5 H 0.9922 0.0078 0.7500  2 Be 1.43
6 H 0.7795 0.7907 0.9036  1 Be 1.47
7 H 0.3281 0.4684 0.8662  1 Be 1.51
8 H 0.4151 0.8643 0.1660  1 Be 1.46
9 H 0.5316 0.6719 0.6338  1 Be 1.51
10 H 0.2093 0.2205 0.5964  1 Be 1.47
11 H 0.4684 0.3281 0.3662  1 Be 1.51
12 H 0.8643 0.4151 0.6660  1 Be 1.46
13 H 0.0078 0.9922 0.2500  2 Be 1.43
14 H 0.2205 0.2093 0.0964  1 Be 1.47
15 Zn 0.7445 0.4857 0.9487  3 H 1.69-1.72
16 Zn 0.2555 0.5143 0.0513  3 H 1.69-1.72
17 Zn 0.5143 0.2555 0.5513  3 H 1.69-1.72
18 Zn 0.4857 0.7445 0.4487  3 H 1.69-1.72
19 Be 0.2761 0.0705 0.2241  4 H 1.43-1.51
20 Be 0.9295 0.7239 0.2759  4 H 1.43-1.51
21 Be 0.7239 0.9295 0.7759  4 H 1.43-1.51
22 Be 0.0705 0.2761 0.7241  4 H 1.43-1.51

---

[10]
Computed, not measured: an optimized crystal structure of Be2ZnH at the PBE level of DFT.

SG: I4_1/amd
Raw total energy, eV/atom: -2.622

abc: 4.2857 4.2857 5.0997
angles: 65.15 65.15 90.00
Last column: nearest neighbours and their distance in Å.
Atoms (fractional coordinates):
1 Be 0.3749 0.1250 0.2500  2 H 1.48
2 Be 0.3750 0.6251 0.7500  2 H 1.48
3 Be 0.3751 0.6250 0.2500  2 H 1.48
4 Be 0.8750 0.6249 0.7500  2 H 1.48
5 H 0.5000 0.5000 0.0000  4 Be 1.48
6 H 0.2500 0.7500 0.5000  4 Be 1.48
7 Zn 0.0000 0.0000 0.0000  8 Be 2.61
8 Zn 0.7500 0.2500 0.5000  8 Be 2.61

---

[11]
Computed, not measured: an optimized crystal structure of BeZnH4 at the PBE level of DFT.

SG: P2_1/c
Raw total energy, eV/atom: -3.044

abc: 4.3630 7.2096 7.7021
angles: 90.00 90.00 94.17
Last column: nearest neighbours and their distance in Å.
Atoms (fractional coordinates):
1 Be 0.3728 0.6784 0.8196  4 H 1.44-1.45
2 Be 0.8728 0.1784 0.6804  4 H 1.44-1.45
3 Be 0.6272 0.3216 0.1804  4 H 1.44-1.45
4 Be 0.1272 0.8216 0.3196  4 H 1.44-1.45
5 H 0.6322 0.3019 0.7090  1 Be 1.44
6 H 0.2749 0.9945 0.3823  1 Be 1.44
7 H 0.2251 0.5055 0.8823  1 Be 1.44
8 H 0.4412 0.3518 0.3308  1 Be 1.44
9 H 0.8678 0.1981 0.2090  1 Be 1.44
10 H 0.0588 0.1482 0.8308  1 Be 1.44
11 H 0.7251 0.0055 0.6177  1 Be 1.44
12 H 0.0348 0.2900 0.5491  1 Be 1.45
13 H 0.5348 0.7900 0.9509  1 Be 1.45
14 H 0.9412 0.8518 0.1692  1 Be 1.44
15 H 0.1322 0.8019 0.7910  1 Be 1.44
16 H 0.4652 0.2100 0.0491  1 Be 1.45
17 H 0.7749 0.4945 0.1177  1 Be 1.44
18 H 0.5588 0.6482 0.6692  1 Be 1.44
19 H 0.9652 0.7100 0.4509  1 Be 1.45
20 H 0.3678 0.6981 0.2910  1 Be 1.44
21 Zn 0.3654 0.2978 0.8591  4 H 1.64-1.67
22 Zn 0.8654 0.7978 0.6409  4 H 1.64-1.67
23 Zn 0.1346 0.2022 0.3591  4 H 1.64-1.67
24 Zn 0.6346 0.7022 0.1409  4 H 1.64-1.67

---

[12]
Computed, not measured: an optimized crystal structure of BeZnH2 at the PBE level of DFT.

SG: Fm-3m
Raw total energy, eV/atom: -2.135

abc: 3.5403 3.5403 3.5403
angles: 60.00 60.00 60.00
Last column: nearest neighbours and their distance in Å.
Atoms (fractional coordinates):
1 Be 0.0000 0.0000 0.0000  8 H 2.17
2 H 0.2500 0.2500 0.2500  4 Be 2.17, 4 Zn 2.17
3 H 0.7500 0.7500 0.7500  4 Be 2.17, 4 Zn 2.17
4 Zn 0.5000 0.5000 0.5000  8 H 2.17

---

[13]
Computed, not measured: an optimized crystal structure of Zr2BeH at the PBE level of DFT.

SG: I-42d
Raw total energy, eV/atom: -5.618

abc: 4.6414 4.6414 6.9549
angles: 70.51 70.51 90.00
Last column: nearest neighbours and their distance in Å.
Atoms (fractional coordinates):
1 Zr 0.8750 0.8321 0.7500  2 H 2.15, 2 Be 2.35
2 Zr 0.3750 0.4179 0.7500  2 H 2.15, 2 Be 2.35
3 Zr 0.5821 0.1250 0.2500  2 H 2.15, 2 Be 2.35
4 Zr 0.1679 0.6250 0.2500  2 H 2.15, 2 Be 2.35
5 Be 0.0000 0.0000 0.0000  4 Zr 2.35
6 Be 0.7500 0.2500 0.5000  4 Zr 2.35
7 H 0.5000 0.5000 0.0000  4 Zr 2.15
8 H 0.2500 0.7500 0.5000  4 Zr 2.15

---

[14]
Computed, not measured: an optimized crystal structure of Zr3BeH at the PBE level of DFT.

SG: Pm-3m
Raw total energy, eV/atom: -6.644

abc: 4.3319 4.3319 4.3319
angles: 90.00 90.00 90.00
Last column: nearest neighbours and their distance in Å.
Atoms (fractional coordinates):
1 Zr 0.5000 0.0000 0.0000  2 H 2.17
2 Zr 0.0000 0.0000 0.5000  2 H 2.17
3 Zr 0.0000 0.5000 0.0000  2 H 2.17
4 Be 0.5000 0.5000 0.5000  12 Zr 3.06
5 H 0.0000 0.0000 0.0000  6 Zr 2.17

---

[15]
Computed, not measured: an optimized crystal structure of ZrBeH2 at the PBE level of DFT.

SG: I-42d
Raw total energy, eV/atom: -4.794

abc: 3.9426 3.9426 5.5501
angles: 69.20 69.20 90.00
Last column: nearest neighbours and their distance in Å.
Atoms (fractional coordinates):
1 Be 0.5000 0.5000 0.0000  4 H 1.66
2 Be 0.2500 0.7500 0.5000  4 H 1.66
3 Zr 0.0000 0.0000 0.0000  4 H 2.07
4 Zr 0.7500 0.2500 0.5000  4 H 2.07
5 H 0.2231 0.6250 0.2500  2 Be 1.66
6 H 0.8750 0.7769 0.7500  2 Be 1.66
7 H 0.5269 0.1250 0.2500  2 Be 1.66
8 H 0.3750 0.4731 0.7500  2 Be 1.66

---

[16]
Computed, not measured: an optimized crystal structure of Zr2Be2H at the PBE level of DFT.

SG: P4/mbm
Raw total energy, eV/atom: -5.132

abc: 7.1395 7.1395 2.9291
angles: 90.00 90.00 90.00
Last column: nearest neighbours and their distance in Å.
Atoms (fractional coordinates):
1 Zr 0.8134 0.3134 0.5000  6 Be 2.59-2.60
2 Zr 0.3134 0.1866 0.5000  6 Be 2.59-2.60
3 Zr 0.6866 0.8134 0.5000  6 Be 2.59-2.60
4 Zr 0.1866 0.6866 0.5000  6 Be 2.59-2.60
5 Be 0.1009 0.3991 0.0000  1 Be 2.04
6 Be 0.8991 0.6009 0.0000  1 Be 2.04
7 Be 0.3991 0.8991 0.0000  1 Be 2.04
8 Be 0.6009 0.1009 0.0000  1 Be 2.04
9 H 0.5000 0.5000 0.0000  2 H 2.93, 4 Be 2.94, 8 Zr 2.99
10 H 0.0000 0.0000 0.0000  2 H 2.93, 4 Be 2.94, 8 Zr 2.99

---

[17]
Computed, not measured: an optimized crystal structure of Zr2Be2H at the PBE level of DFT.

SG: I4/mmm
Raw total energy, eV/atom: -4.959

abc: 5.0126 5.0126 4.5682
angles: 56.73 56.73 90.00
Last column: nearest neighbours and their distance in Å.
Atoms (fractional coordinates):
1 Zr 0.7500 0.2500 0.5000  4 Be 2.55
2 Zr 0.2500 0.7500 0.5000  4 Be 2.55
3 Be 0.3294 0.3294 0.3412  1 H 1.90, 1 Be 1.97
4 Be 0.6706 0.6706 0.6588  1 H 1.90, 1 Be 1.97
5 H 0.0000 0.0000 0.0000  2 Be 1.90

---

[18]
Computed, not measured: an optimized crystal structure of ZrBe2H at the PBE level of DFT.

SG: Fd-3m
Raw total energy, eV/atom: -4.684

abc: 4.9439 4.9439 4.9470
angles: 60.02 60.02 90.00
Last column: nearest neighbours and their distance in Å.
Atoms (fractional coordinates):
1 Zr 0.0000 0.0000 0.0000  12 Be 2.90, 4 Zr 3.03, 4 H 3.03
2 Zr 0.7500 0.2500 0.5000  12 Be 2.90, 4 H 3.03, 4 Zr 3.03
3 Be 0.3748 0.1250 0.2500  2 H 1.51
4 Be 0.3750 0.6252 0.7500  2 H 1.51
5 Be 0.8750 0.6248 0.7500  2 H 1.51
6 Be 0.3752 0.6250 0.2500  2 H 1.51
7 H 0.2500 0.7500 0.5000  4 Be 1.51
8 H 0.5000 0.5000 0.0000  4 Be 1.51

---

[19]
Computed, not measured: an optimized crystal structure of Zr2BeH at the PBE level of DFT.

SG: R-3m
Raw total energy, eV/atom: -6.074

abc: 3.4942 3.4942 5.9270
angles: 72.86 72.86 60.00
Last column: nearest neighbours and their distance in Å.
Atoms (fractional coordinates):
1 Zr 0.2414 0.2414 0.2757  3 H 2.37, 3 Be 2.54
2 Zr 0.7586 0.7586 0.7243  3 H 2.37, 3 Be 2.54
3 H 0.5000 0.5000 0.5000  6 Zr 2.37
4 Be 0.0000 0.0000 0.0000  6 Zr 2.54

---

[20]
Computed, not measured: an optimized crystal structure of ZrBe2H at the PBE level of DFT.

SG: Fm-3m
Raw total energy, eV/atom: -4.005

abc: 4.0673 4.0673 4.0673
angles: 60.00 60.00 60.00
Last column: nearest neighbours and their distance in Å.
Atoms (fractional coordinates):
1 H 0.0000 0.0000 0.0000  8 Be 2.49
2 Zr 0.5000 0.5000 0.5000  8 Be 2.49
3 Be 0.2500 0.2500 0.2500  4 Zr 2.49, 4 H 2.49
4 Be 0.7500 0.7500 0.7500  4 Zr 2.49, 4 H 2.49